The following is a PBE with a Hubbard U calculation of crystalline Tl2Ni2RuO6 at its relaxed geometry, from the Alexandria database.

Cell lengths 5.337, 9.208, 6.501 Å; angles 90.00, 105.59, 90.00 degrees
Space group C2/m (No. 12)
Symmetry-distinct sites (fractional):
Tl 0.000 0.169 0.000 x4
Ni 0.000 0.335 0.500 x4
Ru 0.000 0.000 0.500 x2
O 0.208 0.158 0.668 x8
O 0.246 0.500 0.672 x4

* E: -5.2386 eV/atom
* magnetization: 6.0 μB/f.u.
* V: 14.0 A^3/atom